# 1
The following is a DFT calculation (PBE) of a geometry-optimized BaUSbO5 structure.

Summary:
Total magnetization (μB/f.u.): 1.0
DOS(E_F) (states/eV per atom): 0.02
Raw formation energy (eV/atom): -2.54
Theoretical density (g cm⁻³): 6.2

```
BaUSbO5
1.0
4.098 -4.983 0.000
4.098 4.983 0.000
-3.739 0.000 7.524
Ba U Sb O
2 2 2 10
direct
0.070 0.930 0.750
0.930 0.070 0.250
0.000 0.500 0.000
0.500 0.000 0.500
0.455 0.545 0.750
0.545 0.455 0.250
0.167 0.265 0.057
0.224 0.776 0.250
0.233 0.608 0.869
0.265 0.167 0.557
0.392 0.767 0.631
0.608 0.233 0.369
0.735 0.833 0.443
0.767 0.392 0.131
0.776 0.224 0.750
0.833 0.735 0.943
```

# 2
The following is a DFT calculation (PBE) of a geometry-optimized Ba2USbO8 structure.

Summary:
Total magnetization (μB/f.u.): 1.0
DOS(E_F) (states/eV per atom): 0.40
Raw formation energy (eV/atom): -2.28
Theoretical density (g cm⁻³): 5.8

```
Ba2USbO8
1.0
5.606 0.000 0.000
0.000 6.949 0.000
-0.200 0.000 5.613
Ba U Sb O
2 1 1 8
direct
0.000 0.242 0.000
0.000 0.758 0.000
0.500 0.500 0.500
0.500 0.000 0.500
0.254 0.000 0.251
0.254 0.500 0.251
0.337 0.238 0.661
0.337 0.762 0.661
0.663 0.238 0.339
0.663 0.762 0.339
0.746 0.000 0.749
0.746 0.500 0.749
```

# 3
The following is a DFT calculation (PBE) of a geometry-optimized BaUSbO6 structure.

Summary:
Total magnetization (μB/f.u.): 1.0
DOS(E_F) (states/eV per atom): 0.24
Raw formation energy (eV/atom): -2.49
Theoretical density (g cm⁻³): 6.2

```
BaUSbO6
1.0
5.637 0.000 0.000
-2.818 4.881 0.000
0.000 0.000 11.549
Ba U Sb O
2 2 2 12
direct
0.000 0.000 0.000
0.000 0.000 0.500
0.333 0.667 0.250
0.667 0.333 0.750
0.333 0.667 0.750
0.667 0.333 0.250
0.020 0.386 0.652
0.020 0.634 0.848
0.366 0.386 0.848
0.366 0.980 0.652
0.386 0.020 0.152
0.386 0.366 0.348
0.614 0.634 0.652
0.614 0.980 0.848
0.634 0.020 0.348
0.634 0.614 0.152
0.980 0.366 0.152
0.980 0.614 0.348
```

# 4
The following is a DFT calculation (PBE) of a geometry-optimized Ba2USbO6 structure.

Summary:
Total magnetization (μB/f.u.): 1.1
DOS(E_F) (states/eV per atom): 0.16
Raw formation energy (eV/atom): -2.59
Theoretical density (g cm⁻³): 7.0

```
Ba2USbO6
1.0
4.425 0.000 0.000
0.000 4.425 0.000
0.000 0.000 8.814
Ba U Sb O
2 1 1 6
direct
0.000 0.000 0.227
0.000 0.000 0.773
0.500 0.500 0.500
0.500 0.500 0.000
0.000 0.500 0.000
0.000 0.500 0.500
0.500 0.000 0.000
0.500 0.000 0.500
0.500 0.500 0.262
0.500 0.500 0.738
```

- raw formation energy of number 1 (BaUSbO5)?
  -2.54 eV/atom

- Number 1 is which compound?
  BaUSbO5

- Which of these has the lowest raw formation energy?
  Ba2USbO6

- What is the theoretical density in the third record?
  6.2 g cm⁻³